{
  "formula": "ZrInF2",
  "functional": "SCAN",
  "state": "single point on PBEsol structure",
  "e_form_raw_ev_per_atom": -1.30,
  "magnetic_moment_mub_per_fu": 0.0,
  "mass_density_g_cm3": 6.69,
  "lattice_angstrom": [[-3.076, -1.317, -2.870], [-3.546, -2.198, 1.424], [-3.958, 1.942, -0.035]],
  "species": ["In", "F", "Zr", "F"],
  "frac_coords": [[0.500, 0.500, 0.500], [0.750, 0.750, 0.750], [0.000, 0.000, 0.000], [0.250, 0.250, 0.250]]
}